(1)
The following is a PBE calculation of CeSmGe after structural relaxation, from Alexandria via LeMat-Bulk.

* Fermi-level density of states: 9.97 states/eV per cell
* V: 154.6 Å³ per cell
* spin magnetization: 1.0 μB/cell
* calculated total energy: -34.54 eV/cell

Unit cell a=4.260 b=4.260 c=9.034 alpha=103.64 beta=103.64 gamma=90.00
Site moments in Bohr magnetons follow the coordinates.
Fractional coordinates of all 6 atoms:
Ce  0.000  0.500  0.000  0.22
Ce  0.500  0.000  0.000  0.22
Sm  0.180  0.180  0.360  0.10
Sm  0.820  0.820  0.640  0.10
Ge  0.363  0.363  0.727  -0.01
Ge  0.637  0.637  0.273  -0.01

(2)
The following is a PBE calculation of Ce3SmGe2 after structural relaxation, from Alexandria via LeMat-Bulk.

* Fermi-level density of states: 22.72 states/eV per cell
* V: 304.2 Å³ per cell
* spin magnetization: 2.5 μB/cell
* calculated total energy: -69.59 eV/cell

Unit cell a=4.243 b=10.303 c=8.759 alpha=124.86 beta=90.00 gamma=101.88
Site moments in Bohr magnetons follow the coordinates.
Fractional coordinates of all 12 atoms:
Ce  0.297  0.594  0.516  0.17
Ce  0.933  0.865  0.501  0.41
Ce  0.638  0.275  0.780  0.51
Ce  0.362  0.725  0.220  0.51
Ce  0.067  0.135  0.499  0.41
Ce  0.703  0.406  0.484  0.17
Sm  0.897  0.795  0.930  -0.01
Sm  0.103  0.205  0.070  -0.01
Ge  0.480  0.960  0.802  -0.01
Ge  0.520  0.040  0.198  -0.01
Ge  0.743  0.486  0.205  -0.01
Ge  0.257  0.514  0.795  -0.01

(3)
The following is a PBE calculation of Ce2Sm3Ge3 after structural relaxation, from Alexandria via LeMat-Bulk.

* Fermi-level density of states: 27.05 states/eV per cell
* V: 424.8 Å³ per cell
* spin magnetization: 4.6 μB/cell
* calculated total energy: -90.83 eV/cell

Unit cell a=6.285 b=8.834 c=8.834 alpha=120.00 beta=90.00 gamma=90.00
Site moments in Bohr magnetons follow the coordinates.
Fractional coordinates of all 16 atoms:
Ce  0.000  0.333  0.667  0.72
Ce  0.500  0.667  0.333  0.72
Ce  0.000  0.667  0.333  0.72
Ce  0.500  0.333  0.667  0.72
Sm  0.750  0.252  0.000  0.07
Sm  0.750  0.748  0.748  0.07
Sm  0.750  0.000  0.252  0.07
Sm  0.250  0.748  0.000  0.07
Sm  0.250  0.252  0.252  0.07
Sm  0.250  0.000  0.748  0.07
Ge  0.750  0.614  0.000  -0.03
Ge  0.750  0.386  0.386  -0.03
Ge  0.750  0.000  0.614  -0.03
Ge  0.250  0.386  0.000  -0.03
Ge  0.250  0.614  0.614  -0.03
Ge  0.250  0.000  0.386  -0.03